! Tm6PtSe5 PBE-GGA relaxed; values from VASP
! Crystal system: monoclinic
! V (Å³/f.u.): 284
! Electronic total energy (eV/atom): -5.8354
&SYSTEM
  ibrav = 0, nat = 12, ntyp = 3
/
ATOMIC_SPECIES
Tm 168.93 Tm.upf
Se 78.96 Se.upf
Pt 195.08 Pt.upf
ATOMIC_POSITIONS crystal
Tm 0.605 0.923 0.764
Tm 0.923 0.605 0.764
Se 0.500 0.500 0.500
Se 0.823 0.177 0.500
Pt 0.000 0.000 0.000
Se 0.177 0.823 0.500
Tm 0.237 0.237 0.758
Se 0.335 0.665 0.000
Tm 0.395 0.077 0.236
Tm 0.763 0.763 0.242
Tm 0.077 0.395 0.236
Se 0.665 0.335 0.000
CELL_PARAMETERS angstrom
6.925 -0.110 -1.308
-3.743 5.827 -1.308
0.126 0.226 7.008



! MnCd3S4 PBE-GGA relaxed; values from VASP
! Crystal system: orthorhombic
! V (Å³/f.u.): 199
! Electronic total energy (eV/atom): -4.1756
&SYSTEM
  ibrav = 0, nat = 16, ntyp = 3
/
ATOMIC_SPECIES
Cd 112.41 Cd.upf
S 32.06 S.upf
Mn 54.94 Mn.upf
ATOMIC_POSITIONS crystal
Cd 0.503 0.837 0.000
S 0.146 0.830 0.500
Cd 0.002 0.669 0.751
S 0.646 0.170 0.000
S 0.620 0.673 0.260
Cd 0.502 0.331 0.749
S 0.120 0.327 0.240
S 0.121 0.851 0.000
S 0.620 0.673 0.740
Cd 0.003 0.163 0.500
Cd 0.002 0.669 0.249
S 0.120 0.327 0.760
Cd 0.502 0.331 0.251
Mn 0.503 0.831 0.500
Mn 0.003 0.169 0.000
S 0.621 0.149 0.500
CELL_PARAMETERS angstrom
-2.128 -2.137 -6.016
2.092 -6.645 1.621
-7.456 -1.568 3.194



! IrRuRh PBE-GGA relaxed; values from VASP
! Crystal system: orthorhombic
! V (Å³/f.u.): 44
! Electronic total energy (eV/atom): -8.3232
&SYSTEM
  ibrav = 0, nat = 6, ntyp = 3
/
ATOMIC_SPECIES
Ru 101.07 Ru.upf
Ir 192.22 Ir.upf
Rh 102.91 Rh.upf
ATOMIC_POSITIONS crystal
Ru 0.500 0.322 0.579
Ir 0.500 0.822 0.077
Rh 0.000 0.822 0.735
Ru 0.000 0.822 0.421
Rh 0.500 0.322 0.265
Ir 0.000 0.322 0.923
CELL_PARAMETERS angstrom
2.713 0.000 0.000
0.000 2.714 0.008
0.000 -0.033 12.026